Record 1
## NbNi2Ir (PBE)

Data for NbNi2Ir after structural relaxation.

Unit cell a=4.244 b=4.244 c=4.244 alpha=60.00 beta=60.00 gamma=60.00
Element x y z (fractional)
Ir: 0.500 0.500 0.500
Nb: 0.000 0.000 0.000
Ni: 0.750 0.750 0.750
Ni: 0.250 0.250 0.250

Results
Energy of formation from the pure elements (eV per atom): -0.172
SG: Fm-3m

Record 2
## CsZnF3 (PBE)

Data for CsZnF3 after structural relaxation.

Unit cell a=8.065 b=8.065 c=5.503 alpha=90.00 beta=90.00 gamma=134.50
Element x y z (fractional)
F: 0.586 0.917 0.750
Zn: 0.092 0.908 0.250
F: 0.000 0.000 0.500
Zn: 0.908 0.092 0.750
F: 0.414 0.083 0.250
Cs: 0.659 0.341 0.750
F: 0.000 0.000 0.000
F: 0.083 0.414 0.750
Cs: 0.341 0.659 0.250
F: 0.917 0.586 0.250

Results
SG: Cmcm
Formation energy from raw total energies (meV per atom): -2464

Record 3
## Pr3Y2Ho4 (PBE)

Data for Pr3Y2Ho4 after structural relaxation.

Unit cell a=5.157 b=6.038 c=11.699 alpha=70.16 beta=77.27 gamma=64.72
Element x y z (fractional)
Pr: 0.553 0.642 0.252
Ho: 0.854 0.014 0.279
Y: 0.834 0.755 0.577
Ho: 0.722 0.660 0.897
Pr: 0.447 0.358 0.748
Y: 0.166 0.245 0.423
Ho: 0.278 0.340 0.103
Pr: 0.000 0.000 0.000
Ho: 0.146 0.986 0.721

Results
Energy of formation from the pure elements (eV per atom): 0.202
SG: C2/m

Record 4
## CoAs2Au (PBE)

Data for CoAs2Au after structural relaxation.

Unit cell a=7.741 b=7.741 c=7.741 alpha=23.81 beta=23.81 gamma=23.81
Element x y z (fractional)
Au: 0.250 0.250 0.250
As: 0.016 0.016 0.016
Co: 0.750 0.750 0.750
As: 0.484 0.484 0.484

Results
Energy of formation from the pure elements (eV per atom): 0.090
SG: R-3m

Record 5
## Cs12Ba3H5 (PBE)

Data for Cs12Ba3H5 after structural relaxation.

Unit cell a=18.961 b=18.961 c=18.961 alpha=109.47 beta=109.47 gamma=109.47
Each line ends with the local moment (μB).
Element x y z (fractional)
Cs: 0.593 0.607 0.914  0.03
Cs: 0.193 0.086 0.679  0.03
Cs: 0.593 0.987 0.179  0.03
Ba: 0.875 0.125 0.250  0.20
H: 0.000 0.500 0.500  0.01
Cs: 0.321 0.414 0.807  0.03
Cs: 0.907 0.321 0.513  0.03
Ba: 0.125 0.875 0.750  0.20
Cs: 0.586 0.679 0.693  0.03
Ba: 0.125 0.250 0.875  0.20
H: 0.625 0.750 0.875  0.01
H: 0.250 0.375 0.625  0.01
Cs: 0.487 0.307 0.893  0.03
H: 0.375 0.250 0.125  0.01
Cs: 0.807 0.893 0.987  0.03
Cs: 0.093 0.414 0.107  0.03
H: 0.250 0.875 0.125  0.01
Cs: 0.586 0.907 0.393  0.03
Cs: 0.107 0.914 0.093  0.03
H: 0.375 0.125 0.750  0.01
Cs: 0.086 0.893 0.407  0.03
H: 0.750 0.625 0.375  0.01
H: 0.625 0.875 0.250  0.01
Cs: 0.607 0.593 0.414  0.03
Cs: 0.107 0.193 0.513  0.03
Ba: 0.375 0.750 0.625  0.20
H: 0.500 0.500 0.000  0.01
Cs: 0.914 0.807 0.821  0.03
Cs: 0.679 0.093 0.987  0.03
Cs: 0.393 0.987 0.307  0.03
Ba: 0.375 0.625 0.250  0.20
Ba: 0.625 0.375 0.750  0.20
H: 0.875 0.625 0.750  0.01
Cs: 0.307 0.821 0.414  0.03
H: 0.500 0.500 0.500  0.01
Cs: 0.414 0.321 0.307  0.03
Cs: 0.987 0.593 0.679  0.03
Cs: 0.893 0.807 0.487  0.03
Cs: 0.914 0.107 0.593  0.03
Cs: 0.407 0.013 0.821  0.03
Cs: 0.821 0.307 0.914  0.03
H: 0.750 0.125 0.875  0.01
H: 0.000 0.000 0.500  0.01
H: 0.500 0.000 0.500  0.01
Cs: 0.679 0.586 0.193  0.03
Cs: 0.807 0.914 0.321  0.03
Ba: 0.750 0.375 0.125  0.20
H: 0.500 0.000 0.000  0.01
H: 0.000 0.500 0.000  0.01
Cs: 0.693 0.179 0.586  0.03
Ba: 0.625 0.250 0.375  0.20
Cs: 0.607 0.013 0.693  0.03
Cs: 0.513 0.821 0.907  0.03
Cs: 0.513 0.693 0.107  0.03
Cs: 0.321 0.907 0.013  0.03
Cs: 0.093 0.679 0.487  0.03
Cs: 0.179 0.693 0.086  0.03
Cs: 0.907 0.586 0.893  0.03
Cs: 0.393 0.407 0.586  0.03
H: 0.000 0.000 0.000  0.01
H: 0.125 0.375 0.250  0.01
Cs: 0.987 0.393 0.807  0.03
Cs: 0.013 0.607 0.193  0.03
Ba: 0.250 0.625 0.875  0.20
Cs: 0.307 0.487 0.393  0.03
Ba: 0.750 0.875 0.625  0.20
Cs: 0.407 0.393 0.086  0.03
Cs: 0.179 0.487 0.593  0.03
Cs: 0.487 0.179 0.093  0.03
Cs: 0.013 0.407 0.321  0.03
Cs: 0.193 0.107 0.013  0.03
Cs: 0.821 0.513 0.407  0.03
Ba: 0.250 0.125 0.375  0.20
Cs: 0.693 0.513 0.607  0.03
Cs: 0.086 0.193 0.179  0.03
Cs: 0.893 0.086 0.907  0.03
H: 0.875 0.250 0.625  0.01
H: 0.125 0.750 0.375  0.01
Ba: 0.875 0.750 0.125  0.20
Cs: 0.414 0.093 0.607  0.03

Results
Electronic total energy (Ry per atom): -0.109
SG: Ia-3d

Record 6
## YSbI2 (PBE)

Data for YSbI2 after structural relaxation.

Unit cell a=10.851 b=10.851 c=8.272 alpha=49.01 beta=49.01 gamma=90.00
Each line ends with the local moment (μB).
Element x y z (fractional)
Sb: 0.750 0.250 0.500  0.58
Sb: 0.000 0.000 0.000  0.58
I: 0.489 0.125 0.250  0.08
I: 0.375 0.511 0.750  0.09
Y: 0.500 0.500 0.000  0.07
I: 0.261 0.625 0.250  0.08
Y: 0.250 0.750 0.500  0.07
I: 0.875 0.739 0.750  0.09

Results
SG: I-42d
Formation energy from raw total energies (meV per atom): -544

Record 7
## DyCoTcGe2 (PBE)

Data for DyCoTcGe2 after structural relaxation.

Unit cell a=4.152 b=4.152 c=5.815 alpha=110.91 beta=110.91 gamma=90.00
Element x y z (fractional)
Co: 0.250 0.750 0.500
Ge: 0.372 0.372 0.743
Dy: 0.000 0.000 0.000
Tc: 0.750 0.250 0.500
Ge: 0.628 0.628 0.257

Results
Energy of formation from the pure elements (eV per atom): -0.492
SG: I-4m2

Record 8
## LiMgVAu2 (PBE)

Data for LiMgVAu2 after structural relaxation.

Unit cell a=4.532 b=4.378 c=4.532 alpha=90.00 beta=90.00 gamma=90.00
Each line ends with the local moment (μB).
Element x y z (fractional)
Mg: 0.500 0.500 0.500  0.00
Au: 0.000 0.000 0.500  0.05
V: 0.000 0.500 0.000  2.81
Au: 0.500 0.000 0.000  0.04
Li: 0.000 0.000 0.000  0.13

Results
Energy of formation from the pure elements (eV per atom): 0.319
SG: P4/mmm

Record 9
## TmPaS4 (PBE)

Data for TmPaS4 after structural relaxation.

Unit cell a=4.046 b=6.914 c=6.830 alpha=108.02 beta=90.00 gamma=90.00
Element x y z (fractional)
S: 0.500 0.712 0.724
Pa: 0.000 0.500 0.500
S: 0.500 0.288 0.276
Tm: 0.500 0.500 0.000
S: 0.000 0.293 0.761
S: 0.000 0.707 0.239

Results
SG: P2/m
Formation energy from raw total energies (meV per atom): -1757

Record 10
## PbSIN2 (PBE)

Data for PbSIN2 after structural relaxation.

Unit cell a=4.347 b=4.347 c=8.059 alpha=90.00 beta=90.00 gamma=90.00
Each line ends with the local moment (μB).
Element x y z (fractional)
N: 0.000 0.500 0.000  1.15
Pb: 0.500 0.500 0.500  -0.19
S: 0.000 0.000 0.000  -0.02
N: 0.500 0.000 0.000  1.15
I: 0.000 0.000 0.500  -0.01

Results
SG: P4/mmm
Formation energy from raw total energies (meV per atom): 1810

Record 11
## K3OsRh (PBE)

Data for K3OsRh after structural relaxation.

Unit cell a=5.932 b=5.932 c=5.932 alpha=90.00 beta=90.00 gamma=90.00
Each line ends with the local moment (μB).
Element x y z (fractional)
Os: 0.500 0.500 0.500  2.62
K: 0.500 0.000 0.000  0.01
K: 0.000 0.500 0.000  0.00
K: 0.000 0.000 0.500  -0.01
Rh: 0.000 0.000 0.000  0.71

Results
Energy of formation from the pure elements (eV per atom): 1.703
SG: Pm-3m

Record 12
## PrZn5PdAu2 (PBE)

Data for PrZn5PdAu2 after structural relaxation.

Unit cell a=4.922 b=4.922 c=7.511 alpha=90.00 beta=90.00 gamma=90.00
Element x y z (fractional)
Au: 0.500 0.500 0.820
Zn: 0.500 0.000 0.813
Pr: 0.000 0.000 0.500
Au: 0.500 0.500 0.180
Zn: 0.500 0.500 0.500
Pd: 0.000 0.000 0.000
Zn: 0.500 0.000 0.187
Zn: 0.000 0.500 0.813
Zn: 0.000 0.500 0.187

Results
Energy of formation from the pure elements (eV per atom): -0.149
SG: P4/mmm

Record 13
## Sn2PdPt (PBE)

Data for Sn2PdPt after structural relaxation.

Unit cell a=3.560 b=3.280 c=7.834 alpha=114.63 beta=103.19 gamma=90.18
Element x y z (fractional)
Pd: 0.228 0.949 0.235
Sn: 0.613 0.221 0.006
Sn: 0.848 0.705 0.489
Pt: 0.445 0.399 0.683

Results
Energy of formation from the pure elements (eV per atom): -0.346
SG: P1

Record 14
## NpZn2Sb (PBE)

Data for NpZn2Sb after structural relaxation.

Unit cell a=4.602 b=4.316 c=4.316 alpha=90.00 beta=90.00 gamma=90.00
Each line ends with the local moment (μB).
Element x y z (fractional)
Np: 0.500 0.000 0.000  3.82
Sb: 0.500 0.500 0.500  -0.06
Zn: 0.000 0.500 0.000  0.03
Zn: 0.000 0.000 0.500  0.03

Results
SG: P4/mmm
Formation energy from raw total energies (meV per atom): -70

Record 15
## Si2PtRh (PBE)

Data for Si2PtRh after structural relaxation.

Unit cell a=3.025 b=3.033 c=6.084 alpha=90.00 beta=90.00 gamma=90.00
Element x y z (fractional)
Pt: 0.500 0.500 0.250
Si: 0.000 0.000 0.991
Si: 0.000 0.000 0.509
Rh: 0.500 0.500 0.750

Results
SG: P4/mmm
Formation energy from raw total energies (meV per atom): -376

Record 16
## Pm3Sb (PBE)

Data for Pm3Sb after structural relaxation.

Unit cell a=4.896 b=4.899 c=4.897 alpha=90.00 beta=90.00 gamma=90.00
Element x y z (fractional)
Sb: 0.500 0.000 0.583
Pm: 0.500 0.500 0.083
Pm: 0.000 0.500 0.583
Pm: 0.000 0.000 0.083

Results
SG: Pm-3m
Formation energy from raw total energies (meV per atom): -543

Record 17
## DyCd4Hg7 (PBE)

Data for DyCd4Hg7 after structural relaxation.

Unit cell a=6.187 b=8.761 c=6.948 alpha=72.40 beta=63.56 gamma=69.32
Element x y z (fractional)
Hg: 0.997 0.339 0.667
Hg: 0.003 0.661 0.333
Cd: 0.748 0.674 0.831
Hg: 0.750 0.001 0.499
Cd: 0.503 0.668 0.326
Cd: 0.497 0.332 0.674
Hg: 0.258 0.658 0.825
Dy: 0.000 0.000 0.000
Hg: 0.742 0.342 0.175
Cd: 0.252 0.326 0.169
Hg: 0.250 0.999 0.501
Hg: 0.500 0.000 0.000

Results
Energy of formation from the pure elements (eV per atom): -0.036
SG: C2/m

Record 18
## Tm2AlSi4Pt3 (PBE)

Data for Tm2AlSi4Pt3 after structural relaxation.

Unit cell a=3.971 b=3.971 c=10.823 alpha=90.00 beta=90.00 gamma=90.00
Element x y z (fractional)
Al: 0.500 0.500 0.500
Si: 0.500 0.500 0.000
Tm: 0.500 0.000 0.259
Si: 0.000 0.000 0.000
Si: 0.000 0.500 0.354
Pt: 0.000 0.500 0.133
Tm: 0.000 0.500 0.741
Pt: 0.000 0.000 0.500
Si: 0.500 0.000 0.646
Pt: 0.500 0.000 0.867

Results
SG: P-4m2
Formation energy from raw total energies (meV per atom): -975

Record 19
## NaCd2NiMo (PBE)

Data for NaCd2NiMo after structural relaxation.

Unit cell a=5.430 b=5.430 c=4.504 alpha=90.00 beta=90.00 gamma=90.00
Each line ends with the local moment (μB).
Element x y z (fractional)
Cd: 0.500 0.000 0.000  0.02
Mo: 0.000 0.000 0.000  0.76
Na: 0.500 0.500 0.500  0.00
Cd: 0.000 0.500 0.000  0.02
Ni: 0.000 0.000 0.500  0.18

Results
Energy of formation from the pure elements (eV per atom): 0.830
SG: P4/mmm

Record 20
## ZnGeO3 (PBE)

Data for ZnGeO3 after structural relaxation.

Unit cell a=3.826 b=3.826 c=3.826 alpha=90.00 beta=90.00 gamma=90.00
Each line ends with the local moment (μB).
Element x y z (fractional)
Ge: 0.500 0.500 0.500  0.01
O: 0.500 0.000 0.000  0.26
Zn: 0.000 0.000 0.000  0.03
O: 0.000 0.000 0.500  0.19
O: 0.000 0.500 0.000  0.29

Results
SG: Pm-3m
Formation energy from raw total energies (meV per atom): -259

Record 21
## Zn2InPt (PBE)

Data for Zn2InPt after structural relaxation.

Unit cell a=4.787 b=3.036 c=4.830 alpha=93.71 beta=90.00 gamma=90.00
Element x y z (fractional)
Zn: 0.000 0.537 0.510
In: 0.500 0.250 0.250
Zn: 0.000 0.963 0.990
Pt: 0.500 0.750 0.750

Results
Energy of formation from the pure elements (eV per atom): -0.164
SG: P2/m

Record 22
## TbAl8Cr2 (PBE)

Data for TbAl8Cr2 after structural relaxation.

Unit cell a=4.882 b=6.766 c=6.766 alpha=112.07 beta=98.58 gamma=98.58
Each line ends with the local moment (μB).
Element x y z (fractional)
Al: 0.268 0.588 0.588  -0.01
Al: 0.903 0.903 0.668  -0.01
Cr: 0.000 0.293 0.707  1.61
Al: 0.097 0.097 0.332  -0.01
Al: 0.732 0.412 0.412  -0.01
Al: 0.500 0.277 0.723  -0.02
Al: 0.097 0.332 0.097  -0.01
Cr: 0.000 0.707 0.293  1.61
Al: 0.903 0.668 0.903  -0.01
Al: 0.500 0.723 0.277  -0.02
Tb: 0.500 0.000 0.000  -0.06

Results
Energy of formation from the pure elements (eV per atom): 0.043
SG: C2/m

Record 23
## In2Pd5Pt2 (PBE)

Data for In2Pd5Pt2 after structural relaxation.

Unit cell a=4.117 b=6.536 c=7.604 alpha=129.36 beta=105.74 gamma=89.96
Element x y z (fractional)
Pt: 0.661 0.329 0.323
Pd: 0.886 0.436 0.772
Pd: 0.441 0.221 0.881
In: 0.783 0.875 0.564
Pt: 0.339 0.671 0.677
Pd: 0.114 0.564 0.228
In: 0.217 0.125 0.436
Pd: 0.559 0.779 0.119
Pd: 0.000 0.000 0.000

Results
Energy of formation from the pure elements (eV per atom): -0.322
SG: P-1

Density per entry: 12363, 3321, 6782, 10147, 2547, 4239, 8918, 8793, 4828, 4298, 3264, 8837, 11121, 9482, 10535, 7871, 10775, 10335, 5032, 5517, 10448, 3983, 12907 kg/m3